[1]
Compound: NaSrPd3
Source: the Alexandria database
Functional: GGA-PBE
Structure: optimized geometry

```
NaSrPd3
1.0
5.332 0.000 0.000
0.000 5.332 0.000
0.000 0.000 5.332
Na Sr Pd
1 1 3
Direct
0.000 0.000 0.000 Na
0.500 0.500 0.500 Sr
0.000 0.500 0.500 Pd
0.500 0.000 0.500 Pd
0.500 0.500 0.000 Pd
```

Computed properties:
Energy above the most stable polymorph in this dataset = 412.2 meV/atom
Energy of formation = 0.60 eV per atom
Final energy = -15.6 eV/cell

---

[2]
Compound: La3NbRu
Source: the Alexandria database
Functional: GGA-PBE
Structure: optimized geometry

```
La3NbRu
1.0
5.405 0.000 0.000
0.000 5.405 0.000
0.000 0.000 5.405
La Nb Ru
3 1 1
Direct
0.000 0.000 0.500 La
0.000 0.500 0.000 La
0.500 0.000 0.000 La
0.500 0.500 0.500 Nb
0.000 0.000 0.000 Ru
```

Computed properties:
Energy above the most stable polymorph in this dataset = 0.0 meV/atom
Energy of formation = 0.48 eV per atom
Final energy = -31.7 eV/cell

---

[3]
Compound: Pm3Er2Sc
Source: the Alexandria database
Functional: GGA-PBE
Structure: optimized geometry

```
Pm3Er2Sc
1.0
7.121 0.000 0.000
3.529 6.199 0.000
1.837 1.057 8.553
Pm Er Sc
6 4 2
Direct
0.137 0.137 0.172 Pm
0.140 0.639 0.165 Pm
0.252 0.250 0.502 Pm
0.748 0.750 0.498 Pm
0.860 0.361 0.835 Pm
0.863 0.863 0.828 Pm
0.364 0.861 0.833 Er
0.366 0.364 0.826 Er
0.634 0.636 0.174 Er
0.636 0.139 0.167 Er
0.254 0.747 0.502 Sc
0.746 0.253 0.498 Sc
```

Computed properties:
Energy above the most stable polymorph in this dataset = 0.0 meV/atom
Energy of formation = 0.03 eV per atom
Final energy = -59.1 eV/cell